Crystalline Sr2FeSnO6 at its relaxed geometry. Source: the Alexandria database, functional PBE with a Hubbard U.

```
40
Lattice="5.6892 0.0006 0.0002 -0.0009 8.0851 0.0009 -0.0008 4.0417 11.3786" Properties=species:S:1:pos:R:3 pbc="T T T"
Sr -0.0011 8.0842 5.6901
Sr -0.0013 8.0842 11.3790
Sr -0.0006 4.0426 5.6897
Sr -0.0008 4.0417 11.3785
Sr 2.8434 8.0855 8.5347
Sr 2.8441 4.0418 2.8451
Sr 2.8439 4.0424 8.5343
Sr 2.8436 8.0849 2.8455
Fe 5.6889 2.0205 2.8448
Fe -0.0014 10.1068 8.5350
Fe 5.6883 6.0649 8.5344
Fe 5.6885 6.0630 2.8456
Sn 2.8437 6.0636 5.6901
Sn 2.8436 6.0632 11.3783
Sn 2.8433 10.1062 5.6905
Sn 2.8440 6.0641 0.0010
O 2.8435 8.0847 5.6901
O 2.8434 8.0845 11.3791
O 2.8440 4.0425 5.6900
O 2.8438 4.0419 11.3786
O 5.6880 8.0861 8.5350
O -0.0005 4.0412 2.8448
O -0.0007 4.0411 8.5342
O -0.0010 8.0856 2.8454
O 1.3915 6.0632 9.9265
O 1.3923 2.0209 4.2376
O 1.3910 10.1056 9.9282
O 1.3913 6.0633 4.2384
O 4.2963 6.0640 7.1415
O 4.2966 2.0216 1.4514
O 4.2952 10.1064 7.1423
O 4.2959 6.0642 1.4532
O 1.3910 6.0638 7.1412
O 1.3921 2.0213 1.4512
O 1.3913 10.1061 7.1422
O 1.3918 6.0639 1.4529
O 4.2958 6.0634 9.9267
O 4.2961 2.0212 4.2377
O 4.2955 10.1060 9.9285
O 4.2965 6.0636 4.2387
```

Values from the calculation:
* density: 5.7 g cm⁻³
* electronic total energy: -6.2909 eV/atom
* DOS at the Fermi energy: 19.4 states/eV per cell
* energy above the most stable polymorph in this dataset: 10 meV per atom